VASP calculation (PBE) on an optimized crystal structure of Ac6In2Si.

E_tot ... -4.219 eV per atom
Total magnetic moment ... 0.00 μB/cell
Formation energy (no corrections) ... -269 meV/atom
Relative energy among the computed polymorphs ... 46.7 meV/atom

Cell: 6.802 9.452 10.885 Å, 90.00 90.10 90.00°
Sites, in units of the cell vectors:
Ac (0.893, 0.965, 0.229)
Ac (0.882, 0.686, 0.559)
Ac (0.878, 0.667, 0.942)
Ac (0.622, 0.167, 0.558)
Ac (0.618, 0.186, 0.941)
Ac (0.607, 0.465, 0.271)
Ac (0.107, 0.035, 0.771)
Ac (0.118, 0.314, 0.441)
Ac (0.122, 0.333, 0.058)
Ac (0.378, 0.833, 0.442)
Ac (0.382, 0.814, 0.059)
Ac (0.393, 0.535, 0.729)
In (0.929, 0.378, 0.744)
In (0.571, 0.878, 0.756)
In (0.429, 0.122, 0.244)
In (0.071, 0.622, 0.256)
Si (0.500, 0.500, 0.000)
Si (0.000, 0.000, 0.500)